Entry 1:
MgHgRh2: optimized geometry, PBE.

a = 9.7370 Å, b = 9.7370 Å, c = 9.7370 Å
α = 156.58°, β = 156.58°, γ = 33.36°
Fractional positions:
Mg (0.0000, 0.0000, 0.0000)
Mg (0.7500, 0.2500, 0.5000)
Hg (0.2500, 0.7500, 0.5000)
Hg (0.5000, 0.5000, 0.0000)
Rh (0.0870, 0.6250, 0.9620)
Rh (0.3750, 0.3370, 0.4620)
Rh (0.6630, 0.1250, 0.0380)
Rh (0.8750, 0.9130, 0.5380)

Summary:
Electronic total energy   -0.2884 Ry per atom
Crystal system   tetragonal

=====

Entry 2:
Mg7HgRh2: optimized geometry, PBE.

a = 10.7361 Å, b = 10.7361 Å, c = 10.7361 Å
α = 155.97°, β = 155.97°, γ = 34.24°
Fractional positions:
Mg (0.0000, 0.0000, 0.0000)
Mg (0.1041, 0.6041, 0.5000)
Mg (0.2500, 0.7500, 0.5000)
Mg (0.3959, 0.8959, 0.5000)
Mg (0.6041, 0.1041, 0.5000)
Mg (0.7500, 0.2500, 0.5000)
Mg (0.8959, 0.3959, 0.5000)
Hg (0.5000, 0.5000, 0.0000)
Rh (0.1709, 0.1709, 0.0000)
Rh (0.8291, 0.8291, 0.0000)

Summary:
Electronic total energy   -0.2102 Ry per atom
Crystal system   tetragonal

=====

Entry 3:
Mg8HgRh2: optimized geometry, PBE.

a = 7.0526 Å, b = 7.0526 Å, c = 4.4851 Å
α = 90.05°, β = 90.05°, γ = 105.55°
Fractional positions:
Mg (0.1606, 0.1606, 0.9981)
Mg (0.1849, 0.4597, 0.4988)
Mg (0.2397, 0.7603, 0.0000)
Mg (0.4597, 0.1849, 0.4988)
Mg (0.5403, 0.8151, 0.5012)
Mg (0.7603, 0.2397, 0.0000)
Mg (0.8151, 0.5403, 0.5012)
Mg (0.8394, 0.8394, 0.0019)
Hg (0.5000, 0.5000, 0.0000)
Rh (0.1213, 0.8787, 0.5000)
Rh (0.8787, 0.1213, 0.5000)

Summary:
Crystal system   monoclinic
Energy above the lowest structure with this stoichiometry   0.292 eV per formula unit

=====

Entry 4:
Mg4HgRh2: optimized geometry, PBE.

a = 7.4137 Å, b = 7.4137 Å, c = 7.4137 Å
α = 36.08°, β = 36.08°, γ = 36.08°
Fractional positions:
Mg (0.0994, 0.0994, 0.0994)
Mg (0.3631, 0.3631, 0.3631)
Mg (0.6369, 0.6369, 0.6369)
Mg (0.9006, 0.9006, 0.9006)
Hg (0.5000, 0.5000, 0.5000)
Rh (0.2345, 0.2345, 0.2345)
Rh (0.7655, 0.7655, 0.7655)

Summary:
Crystal system   trigonal
Energy above the lowest structure with this stoichiometry   0.000 eV per formula unit

=====

Entry 5:
Mg4HgRh3: optimized geometry, PBE.

a = 4.4776 Å, b = 4.4776 Å, c = 6.4808 Å
α = 90.00°, β = 90.00°, γ = 90.00°
Fractional positions:
Mg (0.0000, 0.5000, 0.2308)
Mg (0.0000, 0.5000, 0.7692)
Mg (0.5000, 0.0000, 0.2308)
Mg (0.5000, 0.0000, 0.7692)
Hg (0.0000, 0.0000, 0.5000)
Rh (0.0000, 0.0000, 0.0000)
Rh (0.5000, 0.5000, 0.0000)
Rh (0.5000, 0.5000, 0.5000)

Summary:
Electronic total energy   -0.2965 Ry per atom
Crystal system   tetragonal

=====

Entry 6:
MgHgRh2: optimized geometry, PBE.

a = 4.5422 Å, b = 4.5422 Å, c = 4.5422 Å
α = 60.00°, β = 60.00°, γ = 60.00°
Fractional positions:
Mg (0.0000, 0.0000, 0.0000)
Hg (0.7500, 0.7500, 0.7500)
Rh (0.2500, 0.2500, 0.2500)
Rh (0.5000, 0.5000, 0.5000)

Summary:
Electronic total energy   -0.3082 Ry per atom
Crystal system   cubic

=====

Entry 7:
Mg2HgSbRh: optimized geometry, PBE.

a = 5.1286 Å, b = 5.1286 Å, c = 4.8817 Å
α = 90.00°, β = 90.00°, γ = 90.00°
Fractional positions:
Mg (0.0000, 0.5000, 0.0000)
Mg (0.5000, 0.0000, 0.0000)
Hg (0.0000, 0.0000, 0.5000)
Sb (0.5000, 0.5000, 0.5000)
Rh (0.5000, 0.5000, 0.0000)

Summary:
ΔE_f (raw)   -0.214 eV/atom
Crystal system   tetragonal

=====

Entry 8:
Mg2Sc5HgRh2: optimized geometry, PBE.

a = 11.1351 Å, b = 11.1351 Å, c = 3.5093 Å
α = 90.00°, β = 90.00°, γ = 90.00°
Fractional positions:
Mg (0.1740, 0.3260, 0.0000)
Mg (0.3260, 0.8260, 0.0000)
Mg (0.6740, 0.1740, 0.0000)
Mg (0.8260, 0.6740, 0.0000)
Sc (0.0000, 0.5000, 0.5000)
Sc (0.0735, 0.7937, 0.5000)
Sc (0.2063, 0.0735, 0.5000)
Sc (0.2937, 0.5735, 0.5000)
Sc (0.4265, 0.2937, 0.5000)
Sc (0.5000, 0.0000, 0.5000)
Sc (0.5735, 0.7063, 0.5000)
Sc (0.7063, 0.4265, 0.5000)
Sc (0.7937, 0.9265, 0.5000)
Sc (0.9265, 0.2063, 0.5000)
Hg (0.0000, 0.0000, 0.0000)
Hg (0.5000, 0.5000, 0.0000)
Rh (0.1278, 0.6278, 0.0000)
Rh (0.3722, 0.1278, 0.0000)
Rh (0.6278, 0.8722, 0.0000)
Rh (0.8722, 0.3722, 0.0000)

Summary:
Electronic total energy   -0.4019 Ry per atom
Crystal system   tetragonal

=====

Entry 9:
MgScHg2Rh: optimized geometry, PBE.

a = 5.4656 Å, b = 5.4656 Å, c = 4.6134 Å
α = 90.00°, β = 90.00°, γ = 90.00°
Fractional positions:
Mg (0.0000, 0.0000, 0.0000)
Sc (0.5000, 0.5000, 0.5000)
Hg (0.0000, 0.5000, 0.5000)
Hg (0.5000, 0.0000, 0.5000)
Rh (0.5000, 0.5000, 0.0000)

Summary:
Electronic total energy   -0.2055 Ry per atom
Crystal system   tetragonal

=====

Entry 10:
MgScHgRh: optimized geometry, PBE.

a = 3.2758 Å, b = 3.2758 Å, c = 6.9486 Å
α = 90.00°, β = 90.00°, γ = 90.00°
Fractional positions:
Mg (0.0000, 0.0000, 0.0000)
Sc (0.0000, 0.0000, 0.5596)
Hg (0.5000, 0.5000, 0.2697)
Rh (0.5000, 0.5000, 0.7687)

Summary:
Electronic total energy   -0.3297 Ry per atom
Crystal system   tetragonal

=====

Entry 11:
Mg2Si2HgRh5: optimized geometry, PBE.

a = 9.7210 Å, b = 9.7210 Å, c = 3.3415 Å
α = 90.00°, β = 90.00°, γ = 90.00°
Fractional positions:
Mg (0.1723, 0.3277, 0.0000)
Mg (0.3277, 0.8277, 0.0000)
Mg (0.6723, 0.1723, 0.0000)
Mg (0.8277, 0.6723, 0.0000)
Si (0.1280, 0.6280, 0.0000)
Si (0.3720, 0.1280, 0.0000)
Si (0.6280, 0.8720, 0.0000)
Si (0.8720, 0.3720, 0.0000)
Hg (0.0000, 0.0000, 0.0000)
Hg (0.5000, 0.5000, 0.0000)
Rh (0.0000, 0.5000, 0.5000)
Rh (0.0730, 0.7858, 0.5000)
Rh (0.2142, 0.0730, 0.5000)
Rh (0.2858, 0.5730, 0.5000)
Rh (0.4270, 0.2858, 0.5000)
Rh (0.5000, 0.0000, 0.5000)
Rh (0.5730, 0.7142, 0.5000)
Rh (0.7142, 0.4270, 0.5000)
Rh (0.7858, 0.9270, 0.5000)
Rh (0.9270, 0.2142, 0.5000)

Summary:
ΔE_f (raw)   -0.597 eV/atom
Crystal system   tetragonal

=====

Entry 12:
SmMgHgRh: optimized geometry, PBE.

a = 4.9382 Å, b = 4.9382 Å, c = 4.9382 Å
α = 60.00°, β = 60.00°, γ = 60.00°
Fractional positions:
Sm (0.0000, 0.0000, 0.0000)
Mg (0.5000, 0.5000, 0.5000)
Hg (0.7500, 0.7500, 0.7500)
Rh (0.2500, 0.2500, 0.2500)

Summary:
Electronic total energy   -0.2882 Ry per atom
Crystal system   cubic

=====

Entry 13:
MgSn2HgRh: optimized geometry, PBE.

a = 5.0843 Å, b = 5.0843 Å, c = 5.0860 Å
α = 90.00°, β = 90.00°, γ = 90.00°
Fractional positions:
Mg (0.0000, 0.0000, 0.0000)
Sn (0.0000, 0.5000, 0.5000)
Sn (0.5000, 0.0000, 0.5000)
Hg (0.5000, 0.5000, 0.0000)
Rh (0.0000, 0.0000, 0.5000)

Summary:
Electronic total energy   -0.2660 Ry per atom
Crystal system   tetragonal

=====

Entry 14:
Mg5Sn2HgRh2: optimized geometry, PBE.

a = 9.5911 Å, b = 9.5911 Å, c = 4.2949 Å
α = 90.00°, β = 90.00°, γ = 90.00°
Fractional positions:
Mg (0.0000, 0.5000, 0.0000)
Mg (0.0798, 0.2073, 0.0000)
Mg (0.2073, 0.9202, 0.0000)
Mg (0.2927, 0.4202, 0.0000)
Mg (0.4202, 0.7073, 0.0000)
Mg (0.5000, 0.0000, 0.0000)
Mg (0.5798, 0.2927, 0.0000)
Mg (0.7073, 0.5798, 0.0000)
Mg (0.7927, 0.0798, 0.0000)
Mg (0.9202, 0.7927, 0.0000)
Sn (0.1701, 0.6701, 0.5000)
Sn (0.3299, 0.1701, 0.5000)
Sn (0.6701, 0.8299, 0.5000)
Sn (0.8299, 0.3299, 0.5000)
Hg (0.0000, 0.0000, 0.5000)
Hg (0.5000, 0.5000, 0.5000)
Rh (0.1203, 0.3797, 0.5000)
Rh (0.3797, 0.8797, 0.5000)
Rh (0.6203, 0.1203, 0.5000)
Rh (0.8797, 0.6203, 0.5000)

Summary:
Electronic total energy   -0.2519 Ry per atom
Crystal system   tetragonal

=====

Entry 15:
Mg2SnHgRh: optimized geometry, PBE.

a = 5.0408 Å, b = 5.0408 Å, c = 5.0082 Å
α = 90.00°, β = 90.00°, γ = 90.00°
Fractional positions:
Mg (0.0000, 0.5000, 0.0000)
Mg (0.5000, 0.0000, 0.0000)
Sn (0.0000, 0.0000, 0.5000)
Hg (0.5000, 0.5000, 0.5000)
Rh (0.0000, 0.0000, 0.0000)

Summary:
Electronic total energy   -0.2322 Ry per atom
Crystal system   tetragonal

=====

Entry 16:
SrMg2HgRh: optimized geometry, PBE.

a = 4.9632 Å, b = 4.9632 Å, c = 5.3824 Å
α = 90.00°, β = 90.00°, γ = 90.00°
Fractional positions:
Sr (0.0000, 0.0000, 0.0000)
Mg (0.0000, 0.5000, 0.5000)
Mg (0.5000, 0.0000, 0.5000)
Hg (0.5000, 0.5000, 0.0000)
Rh (0.5000, 0.5000, 0.5000)

Summary:
Electronic total energy   -0.2040 Ry per atom
Crystal system   tetragonal

=====

Entry 17:
MgTiHgRh: optimized geometry, PBE.

a = 4.5895 Å, b = 4.5895 Å, c = 4.5895 Å
α = 60.00°, β = 60.00°, γ = 60.00°
Fractional positions:
Mg (0.0000, 0.0000, 0.0000)
Ti (0.5000, 0.5000, 0.5000)
Hg (0.2500, 0.2500, 0.2500)
Rh (0.7500, 0.7500, 0.7500)

Summary:
Electronic total energy   -0.3372 Ry per atom
Crystal system   cubic

=====

Entry 18:
TmMgHgRh: optimized geometry, PBE.

a = 4.8274 Å, b = 4.8274 Å, c = 4.8274 Å
α = 60.00°, β = 60.00°, γ = 60.00°
Fractional positions:
Tm (0.0000, 0.0000, 0.0000)
Mg (0.5000, 0.5000, 0.5000)
Hg (0.2500, 0.2500, 0.2500)
Rh (0.7500, 0.7500, 0.7500)

Summary:
Electronic total energy   -0.2885 Ry per atom
Crystal system   cubic

=====

Entry 19:
Mg3Zn3HgRh2: optimized geometry, PBE.

a = 7.5981 Å, b = 7.5981 Å, c = 3.0018 Å
α = 90.00°, β = 90.00°, γ = 120.00°
Fractional positions:
Mg (0.0000, 0.6875, 0.0000)
Mg (0.3125, 0.3125, 0.0000)
Mg (0.6875, 0.0000, 0.0000)
Zn (0.0000, 0.3827, 0.5000)
Zn (0.3827, 0.0000, 0.5000)
Zn (0.6173, 0.6173, 0.5000)
Hg (0.0000, 0.0000, 0.5000)
Rh (0.3333, 0.6667, 0.0000)
Rh (0.6667, 0.3333, 0.0000)

Summary:
Electronic total energy   -0.2085 Ry per atom
Crystal system   hexagonal

=====

Entry 20:
MgZrHgRh: optimized geometry, PBE.

a = 3.2498 Å, b = 3.2498 Å, c = 7.2320 Å
α = 90.00°, β = 90.00°, γ = 90.00°
Fractional positions:
Mg (0.0000, 0.0000, 0.0000)
Zr (0.0000, 0.0000, 0.4401)
Hg (0.5000, 0.5000, 0.7385)
Rh (0.5000, 0.5000, 0.2290)

Summary:
Crystal system   tetragonal
Energy above the lowest structure with this stoichiometry   0.000 eV per formula unit